Record 1
Here is Ac2La3Sn4 after structural relaxation from the Alexandria database. Energies are from GGA-PBE.

* crystal system: monoclinic
* total energy: -5.116 eV/atom
* energy relative to the elements: -7.03 eV per formula unit
* ΔE to the lowest computed polymorph: 0.0 meV per atom

Lattice parameters (Å, degrees): 8.860 8.795 8.599 90.00 111.19 90.00
Space group P2_1/c (No. 14)
Symmetry-distinct sites (fractional):
Ac 0.196 0.181 0.064
La 0.242 0.665 0.234
La 0.500 0.000 0.500
Sn 0.086 0.539 0.836
Sn 0.495 0.130 0.872

=====

Record 2
Here is LiDyZnAg after structural relaxation from the Alexandria database. Energies are from GGA-PBE.

* crystal system: cubic
* total energy: -2.865 eV/atom
* energy relative to the elements: -0.82 eV per formula unit

Lattice parameters (Å, degrees): 6.858 6.858 6.858 90.00 90.00 90.00
Space group F-43m (No. 216)
Symmetry-distinct sites (fractional):
Li 0.000 0.000 0.000
Dy 0.000 0.000 0.500
Zn 0.250 0.250 0.750
Ag 0.250 0.250 0.250

=====

Record 3
Here is La2TbCe3Te6 after structural relaxation from the Alexandria database. Energies are from GGA-PBE.

* formation energy from raw total energies: -1.43 eV per atom
* crystal system: monoclinic
* total energy: -5.695 eV/atom

Lattice parameters (Å, degrees): 7.761 13.463 7.854 90.00 109.30 90.00
Space group C2/m (No. 12)
Symmetry-distinct sites (fractional):
La 0.000 0.166 0.000
Tb 0.000 0.500 0.000
Ce 0.000 0.000 0.500
Ce 0.000 0.328 0.500
Te 0.239 0.500 0.746
Te 0.244 0.338 0.248

=====

Q: Which of these has the lowest total energy?
A: La2TbCe3Te6

=====

Q: Which of these has the lowest total energy?
A: La2TbCe3Te6